Entry 1:
BaTlP2Cl: relaxed, PBE.

a = 5.079 Å, b = 5.079 Å, c = 5.857 Å
α = 90.00°, β = 90.00°, γ = 90.00°
Fractional positions:
Ba 0.000 0.000 0.000
Tl 0.500 0.500 0.500
P 0.000 0.500 0.500
P 0.500 0.000 0.500
Cl 0.500 0.500 0.000

As for the total magnetization: 0.00 μB per cell. The calculated volume comes out at 151.1 Å³/f.u. Its density of states at the Fermi level is 2.2 states/eV/cell. The energy relative to the lowest polymorph listed for this composition is 0 meV/atom. The uncorrected formation energy is -241 meV/atom. The calculation puts the total energy at -3.63 eV/atom.

Entry 2:
BaVPCl2: relaxed, PBE.

a = 5.807 Å, b = 5.807 Å, c = 6.424 Å
α = 90.00°, β = 90.00°, γ = 90.00°
Fractional positions:
Ba 0.000 0.000 0.000
V 0.500 0.500 0.500
P 0.000 0.000 0.500
Cl 0.000 0.500 0.000
Cl 0.500 0.000 0.000

As for the total magnetization: 0.47 μB per cell. The calculated volume comes out at 216.6 Å³/f.u. Its density of states at the Fermi level is 17.1 states/eV/cell. The energy relative to the lowest polymorph listed for this composition is 1622 meV/atom. The uncorrected formation energy is 454 meV/atom. The calculation puts the total energy at -3.57 eV/atom.